1.
Compound: TiPS2Br
Source: Alexandria
Functional: GGA-PBE
Structure: optimized geometry

Computed properties:
Relative energy among the computed polymorphs in kJ/mol of atoms: 108.51
Formation energy (no corrections) in meV per atom: 1085

a = 4.7367 Å, b = 4.7367 Å, c = 4.8530 Å
α = 90.00°, β = 90.00°, γ = 90.00°
Space group P4/mmm (No. 123)
Symmetry-distinct sites (fractional):
Ti1 0.0000 0.0000 0.0000 (multiplicity 1)
P1 0.5000 0.5000 0.0000 (multiplicity 1)
S1 0.0000 0.5000 0.5000 (multiplicity 2)
Br1 0.5000 0.5000 0.5000 (multiplicity 1)



2.
Compound: NaCa3Hg12
Source: Alexandria
Functional: GGA-PBE
Structure: optimized geometry

Computed properties:
Formation energy in meV/atom: -332

a = 4.6827 Å, b = 4.6827 Å, c = 18.8179 Å
α = 90.00°, β = 90.00°, γ = 90.00°
Space group P4/mmm (No. 123)
Symmetry-distinct sites (fractional):
Na1 0.0000 0.0000 0.0000 (multiplicity 1)
Ca1 0.0000 0.0000 0.2470 (multiplicity 2)
Ca2 0.0000 0.0000 0.5000 (multiplicity 1)
Hg1 0.0000 0.5000 0.1233 (multiplicity 4)
Hg2 0.0000 0.5000 0.3749 (multiplicity 4)
Hg3 0.5000 0.5000 0.0000 (multiplicity 1)
Hg4 0.5000 0.5000 0.2521 (multiplicity 2)
Hg5 0.5000 0.5000 0.5000 (multiplicity 1)



3.
Compound: SmDy5Cu6
Source: Alexandria
Functional: GGA-PBE
Structure: optimized geometry

Computed properties:
Formation energy in meV/atom: -242

a = 4.9423 Å, b = 14.8396 Å, c = 6.9029 Å
α = 90.00°, β = 90.00°, γ = 90.00°
Space group Cmmm (No. 65)
Symmetry-distinct sites (fractional):
Sm1 0.0000 0.0000 0.0000 (multiplicity 2)
Dy1 0.0000 0.0000 0.5000 (multiplicity 2)
Dy2 0.0000 0.3325 0.0000 (multiplicity 4)
Dy3 0.0000 0.3337 0.5000 (multiplicity 4)
Cu1 0.0000 0.1690 0.2517 (multiplicity 8)
Cu2 0.0000 0.5000 0.2577 (multiplicity 4)



4.
Compound: LuSnRuRh
Source: Alexandria
Functional: GGA-PBE
Structure: optimized geometry

Computed properties:
Formation energy in meV/atom: -705

a = 6.5401 Å, b = 6.5401 Å, c = 6.5401 Å
α = 90.00°, β = 90.00°, γ = 90.00°
Space group F-43m (No. 216)
Symmetry-distinct sites (fractional):
Lu1 0.0000 0.0000 0.0000 (multiplicity 4)
Sn1 0.0000 0.0000 0.5000 (multiplicity 4)
Ru1 0.2500 0.2500 0.2500 (multiplicity 4)
Rh1 0.2500 0.2500 0.7500 (multiplicity 4)



5.
Compound: Mg2Si2Pt
Source: Alexandria
Functional: GGA-PBE
Structure: optimized geometry

Computed properties:
Formation energy (no corrections) in meV per atom: -490

a = 6.2265 Å, b = 6.2265 Å, c = 4.4068 Å
α = 90.00°, β = 90.00°, γ = 90.00°
Space group P4/mbm (No. 127)
Symmetry-distinct sites (fractional):
Mg1 0.1755 0.3245 0.0000 (multiplicity 4)
Si1 0.1332 0.6332 0.5000 (multiplicity 4)
Pt1 0.0000 0.0000 0.5000 (multiplicity 2)



6.
Compound: TlAg4Ir
Source: Alexandria
Functional: GGA-PBE
Structure: optimized geometry

Computed properties:
Formation energy in meV/atom: 519

a = 7.7129 Å, b = 7.7129 Å, c = 7.7129 Å
α = 90.00°, β = 90.00°, γ = 90.00°
Space group F-43m (No. 216)
Symmetry-distinct sites (fractional):
Tl1 0.0000 0.0000 0.0000 (multiplicity 4)
Ag1 0.1245 0.1245 0.6245 (multiplicity 16)
Ir1 0.2500 0.2500 0.2500 (multiplicity 4)



7.
Compound: KTa2Ru
Source: Alexandria
Functional: GGA-PBE
Structure: optimized geometry

Computed properties:
Relative energy among the computed polymorphs in kJ/mol of atoms: 52.59
Formation energy in meV/atom: 1033

a = 3.1645 Å, b = 4.9494 Å, c = 10.5793 Å
α = 90.00°, β = 90.00°, γ = 90.00°
Space group Imm2 (No. 44)
Symmetry-distinct sites (fractional):
K1 0.0000 0.0000 0.0000 (multiplicity 2)
Ta1 0.0000 0.0000 0.5849 (multiplicity 2)
Ta2 0.0000 0.5000 0.7905 (multiplicity 2)
Ru1 0.0000 0.5000 0.2561 (multiplicity 2)



8.
Compound: TlZnRh2
Source: Alexandria
Functional: GGA-PBE
Structure: optimized geometry

Computed properties:
Formation energy in meV/atom: 55

a = 3.0760 Å, b = 3.0760 Å, c = 24.4526 Å
α = 90.00°, β = 90.00°, γ = 120.00°
Space group R-3m (No. 166, hexagonal axes)
Symmetry-distinct sites (fractional):
Tl1 0.0000 0.0000 0.0000 (multiplicity 3)
Zn1 0.0000 0.0000 0.5000 (multiplicity 3)
Rh1 0.0000 0.0000 0.2441 (multiplicity 6)



9.
Compound: BeSbRh4
Source: Alexandria
Functional: GGA-PBE
Structure: optimized geometry

Computed properties:
Formation energy (no corrections) in meV per atom: 310

a = 7.2998 Å, b = 7.2998 Å, c = 7.2998 Å
α = 90.00°, β = 90.00°, γ = 90.00°
Space group F-43m (No. 216)
Symmetry-distinct sites (fractional):
Be1 0.0000 0.0000 0.0000 (multiplicity 4)
Sb1 0.2500 0.2500 0.2500 (multiplicity 4)
Rh1 0.1253 0.1253 0.6253 (multiplicity 16)



10.
Compound: In2Sn2Cl7
Source: Alexandria
Functional: GGA-PBE
Structure: optimized geometry

Computed properties:
Formation energy (no corrections) in meV per atom: -845

a = 8.8455 Å, b = 10.5499 Å, c = 7.1527 Å
α = 90.00°, β = 90.00°, γ = 90.00°
Space group Cmmm (No. 65)
Symmetry-distinct sites (fractional):
In1 0.2481 0.0000 0.0000 (multiplicity 4)
Sn1 0.0000 0.2617 0.5000 (multiplicity 4)
Cl1 0.0000 0.0000 0.5000 (multiplicity 2)
Cl2 0.0000 0.5000 0.2398 (multiplicity 4)
Cl3 0.2500 0.2500 0.2375 (multiplicity 8)



Mass density in kg/m³, matching the order above: 3399 10263 8817 11817 5829 11987 10063 11824 9262 3559